# AcGaCuNi3

A relaxed AcGaCuNi3 crystal (PBE-GGA, the Alexandria database).

Values from the calculation:
- Uncorrected energy: -4.86 eV/atom

Unit cell a=5.600 b=11.333 c=6.526 alpha=90.00 beta=90.00 gamma=90.00
Space group Cmcm (No. 63)
Symmetry-distinct sites (fractional):
Ac  0.000  0.190  0.250
Ga  0.000  0.124  0.750
Cu  0.000  0.437  0.250
Ni  0.000  0.348  0.750
Ni  0.228  0.000  0.000

# AcGaCu3Ni

A relaxed AcGaCu3Ni crystal (PBE-GGA, the Alexandria database).

Values from the calculation:
- Uncorrected energy: -4.31 eV/atom

Unit cell a=5.261 b=13.779 c=5.949 alpha=90.00 beta=90.00 gamma=90.00
Space group Cmcm (No. 63)
Symmetry-distinct sites (fractional):
Ac  0.000  0.203  0.250
Ga  0.000  0.114  0.750
Cu  0.000  0.391  0.750
Cu  0.243  0.000  0.000
Ni  0.000  0.399  0.250